# 1
{"formula": "Cd2HgOs", "functional": "GGA-PBEsol", "state": "relaxed", "lattice_angstrom": [[-0.393, 2.448, 3.197], [-3.893, 0.591, -0.931], [1.025, -4.954, 1.359]], "species": ["Cd", "Cd", "Os", "Hg"], "frac_coords": [[0.750, 0.250, 0.500], [0.250, 0.750, 0.500], [0.000, 0.000, 0.000], [0.500, 0.500, 0.000]], "space_group": "I4/mmm, No. 139", "delta_e_f_ev_per_atom": 0.55}

# 2
{"formula": "SiBAs2", "functional": "GGA-PBEsol", "state": "relaxed", "lattice_angstrom": [[5.498, 0.000, 0.000], [-2.749, 5.254, -0.046], [0.000, -2.836, 4.710]], "species": ["As", "As", "As", "As", "Si", "Si", "B", "B"], "frac_coords": [[0.125, 0.750, 0.572], [0.822, 0.250, 0.875], [0.625, 0.750, 0.178], [0.428, 0.250, 0.375], [0.250, 0.500, 0.750], [0.000, 0.000, 0.000], [0.750, 0.500, 0.250], [0.500, 0.000, 0.500]], "raw_formation_energy_ev_per_atom": 0.227, "space_group": "I-42d, No. 122"}

# 3
{"formula": "BaZr2Al", "functional": "GGA-PBEsol", "state": "relaxed", "lattice_angstrom": [[-0.857, 1.417, -4.322], [-4.382, -1.436, 0.398], [1.440, 4.042, 3.518]], "species": ["Ba", "Al", "Zr", "Zr"], "frac_coords": [[0.000, 0.000, 0.000], [0.500, 0.500, 0.000], [0.750, 0.250, 0.500], [0.250, 0.750, 0.500]], "space_group": "I4/mmm, No. 139", "delta_e_f_ev_per_atom": 0.39}

# 4
{"formula": "CdNiAu2", "functional": "GGA-PBEsol", "state": "relaxed", "lattice_angstrom": [[-1.404, 3.591, 1.154], [0.599, -1.003, 3.852], [4.015, 0.176, -2.682]], "species": ["Au", "Au", "Cd", "Ni"], "frac_coords": [[0.750, 0.250, 0.500], [0.250, 0.750, 0.500], [0.500, 0.500, 0.000], [0.000, 0.000, 0.000]], "space_group": "I4/mmm, No. 139", "delta_e_f_ev_per_atom": -0.02}

# 5
{"formula": "TaAlZn2", "functional": "GGA-PBEsol", "state": "relaxed", "lattice_angstrom": [[3.759, 0.000, 0.000], [0.000, 3.759, 0.000], [-1.879, -1.879, 4.315]], "species": ["Al", "Ta", "Zn", "Zn"], "frac_coords": [[0.500, 0.500, 0.000], [0.250, 0.750, 0.500], [0.000, 0.000, 0.000], [0.750, 0.250, 0.500]], "space_group": "I-4m2, No. 119", "delta_e_f_ev_per_atom": 0.02}

# 6
{"formula": "Eu2YNbO6", "functional": "GGA-PBEsol", "state": "relaxed", "lattice_angstrom": [[5.879, 0.000, 0.000], [2.939, 5.091, 0.000], [2.939, 1.697, 4.800]], "species": ["Nb", "O", "O", "O", "O", "O", "O", "Eu", "Eu", "Y"], "frac_coords": [[0.500, 0.500, 0.500], [0.739, 0.261, 0.261], [0.739, 0.261, 0.739], [0.261, 0.739, 0.739], [0.739, 0.739, 0.261], [0.261, 0.261, 0.739], [0.261, 0.739, 0.261], [0.250, 0.250, 0.250], [0.750, 0.750, 0.750], [0.000, 0.000, 0.000]], "raw_formation_energy_ev_per_atom": -2.958, "space_group": "Fm-3m, No. 225"}

# 7
{"formula": "RbNb2CrPb", "functional": "GGA-PBEsol", "state": "relaxed", "lattice_angstrom": [[4.510, 0.000, 0.000], [0.000, 4.880, 0.000], [0.000, 0.000, 4.880]], "species": ["Cr", "Pb", "Rb", "Nb", "Nb"], "frac_coords": [[0.500, 0.000, 0.000], [0.500, 0.500, 0.500], [0.000, 0.000, 0.000], [0.000, 0.500, 0.000], [0.000, 0.000, 0.500]], "space_group": "P4/mmm, No. 123", "delta_e_f_ev_per_atom": 2.54}

# 8
{"formula": "CdSn2H12O6F6", "functional": "GGA-PBEsol", "state": "relaxed", "lattice_angstrom": [[-2.718, -3.933, -4.483], [4.901, -2.331, -4.344], [1.751, -6.371, 2.630]], "species": ["H", "H", "H", "H", "H", "H", "H", "H", "H", "H", "H", "H", "F", "F", "F", "F", "F", "F", "Sn", "Sn", "O", "O", "O", "O", "O", "O", "Cd"], "frac_coords": [[0.735, 0.736, 0.049], [0.265, 0.264, 0.951], [0.089, 0.781, 0.383], [0.911, 0.219, 0.617], [0.744, 0.386, 0.079], [0.726, 0.109, 0.707], [0.125, 0.723, 0.733], [0.256, 0.614, 0.921], [0.274, 0.891, 0.293], [0.875, 0.277, 0.267], [0.633, 0.900, 0.194], [0.367, 0.100, 0.806], [0.310, 0.404, 0.073], [0.690, 0.596, 0.927], [0.029, 0.297, 0.411], [0.428, 0.015, 0.323], [0.572, 0.985, 0.677], [0.971, 0.703, 0.589], [0.648, 0.676, 0.630], [0.352, 0.324, 0.370], [0.227, 0.188, 0.866], [0.780, 0.255, 0.183], [0.188, 0.811, 0.262], [0.812, 0.189, 0.738], [0.773, 0.812, 0.134], [0.220, 0.745, 0.817], [0.000, 0.000, 0.000]], "total_energy_ev_per_atom": -4.882, "space_group": "P-1, No. 2"}

# 9
{"formula": "MgIrRu", "functional": "GGA-PBEsol", "state": "relaxed", "lattice_angstrom": [[4.164, 0.000, 0.000], [2.082, 3.606, 0.000], [2.082, 1.202, 3.400]], "species": ["Mg", "Ru", "Ir"], "frac_coords": [[0.000, 0.000, 0.000], [0.500, 0.500, 0.500], [0.250, 0.250, 0.250]], "space_group": "F-43m, No. 216", "delta_e_f_ev_per_atom": 0.36}

# 10
{"formula": "LiAgW3", "functional": "GGA-PBEsol", "state": "relaxed", "lattice_angstrom": [[-4.480, -1.329, -0.969], [0.759, -4.165, 2.202], [-1.459, 1.913, 4.121]], "species": ["Li", "W", "W", "W", "Ag"], "frac_coords": [[0.500, 0.500, 0.500], [0.500, 0.000, 0.000], [0.000, 0.500, 0.000], [0.000, 0.000, 0.500], [0.000, 0.000, 0.000]], "space_group": "Pm-3m, No. 221", "delta_e_f_ev_per_atom": 2.93}

# 11
{"formula": "TaIr3", "functional": "GGA-PBEsol", "state": "relaxed", "lattice_angstrom": [[3.883, 0.000, 0.000], [0.000, 3.883, 0.000], [0.000, 0.000, 3.883]], "species": ["Ir", "Ir", "Ir", "Ta"], "frac_coords": [[0.000, 0.500, 0.500], [0.500, 0.000, 0.500], [0.500, 0.500, 0.000], [0.000, 0.000, 0.000]], "space_group": "Pm-3m, No. 221", "delta_e_f_ev_per_atom": -0.70}

# 12
{"formula": "SiH2Rh2", "functional": "GGA-PBEsol", "state": "relaxed", "lattice_angstrom": [[-0.883, 0.455, 2.739], [2.568, -0.958, 0.987], [1.065, 5.157, -2.063]], "species": ["Rh", "Rh", "Si", "H", "H"], "frac_coords": [[0.633, 0.633, 0.265], [0.367, 0.367, 0.735], [0.000, 0.000, 0.000], [0.750, 0.250, 0.500], [0.250, 0.750, 0.500]], "total_energy_ev_per_atom": -6.104, "space_group": "I4/mmm, No. 139"}

# 13
{"formula": "CaHfSe2", "functional": "GGA-PBEsol", "state": "relaxed", "lattice_angstrom": [[-1.294, 5.943, -1.424], [-5.816, -1.644, -1.579], [1.753, -1.191, 7.140]], "species": ["Se", "Se", "Se", "Se", "Hf", "Hf", "Ca", "Ca"], "frac_coords": [[0.906, 0.375, 0.250], [0.344, 0.875, 0.250], [0.625, 0.656, 0.750], [0.125, 0.094, 0.750], [0.000, 0.000, 0.000], [0.250, 0.750, 0.500], [0.500, 0.500, 0.000], [0.750, 0.250, 0.500]], "raw_formation_energy_ev_per_atom": -0.969, "space_group": "I-42d, No. 122"}

# 14
{"formula": "AlCr2Br", "functional": "GGA-PBEsol", "state": "relaxed", "lattice_angstrom": [[2.957, 0.000, 0.000], [0.000, 4.252, 0.000], [0.000, 0.000, 4.951]], "species": ["Al", "Cr", "Cr", "Br"], "frac_coords": [[0.500, 0.500, 0.000], [0.000, 0.000, 0.000], [0.500, 0.000, 0.500], [0.000, 0.500, 0.500]], "raw_formation_energy_ev_per_atom": 0.718, "space_group": "Pmmm, No. 47"}

# 15
{"formula": "YCr3Os", "functional": "GGA-PBEsol", "state": "relaxed", "lattice_angstrom": [[-0.870, -1.467, 4.277], [-2.212, -3.660, -1.705], [3.943, -2.376, -0.013]], "species": ["Cr", "Cr", "Cr", "Os", "Y"], "frac_coords": [[0.000, 0.000, 0.500], [0.500, 0.000, 0.000], [0.000, 0.500, 0.000], [0.000, 0.000, 0.000], [0.500, 0.500, 0.500]], "space_group": "Pm-3m, No. 221", "delta_e_f_ev_per_atom": 1.01}

# 16
{"formula": "MnZn2Au", "functional": "GGA-PBEsol", "state": "relaxed", "lattice_angstrom": [[4.014, 0.000, 0.000], [0.000, 4.014, 0.000], [-2.007, -2.007, 3.568]], "species": ["Mn", "Zn", "Zn", "Au"], "frac_coords": [[0.750, 0.250, 0.500], [0.250, 0.750, 0.500], [0.000, 0.000, 0.000], [0.500, 0.500, 0.000]], "space_group": "I-4m2, No. 119", "delta_e_f_ev_per_atom": -0.04}

# 17
{"formula": "Ca3ZrRu", "functional": "GGA-PBEsol", "state": "relaxed", "lattice_angstrom": [[5.254, 0.000, 0.000], [0.000, 5.254, 0.000], [0.000, 0.000, 5.254]], "species": ["Ca", "Ca", "Ca", "Ru", "Zr"], "frac_coords": [[0.000, 0.500, 0.000], [0.000, 0.000, 0.500], [0.500, 0.000, 0.000], [0.000, 0.000, 0.000], [0.500, 0.500, 0.500]], "space_group": "Pm-3m, No. 221", "delta_e_f_ev_per_atom": 0.75}

# 18
{"formula": "Mn2FeSb", "functional": "GGA-PBEsol", "state": "relaxed", "lattice_angstrom": [[-0.976, -4.033, 0.270], [-0.445, -2.268, -3.457], [2.827, -2.893, -0.967]], "species": ["Sb", "Fe", "Mn", "Mn"], "frac_coords": [[0.250, 0.250, 0.250], [0.500, 0.500, 0.500], [0.000, 0.000, 0.000], [0.750, 0.750, 0.750]], "raw_formation_energy_ev_per_atom": 0.102, "space_group": "F-43m, No. 216"}

# 19
{"formula": "NiHgCl2", "functional": "GGA-PBEsol", "state": "relaxed", "lattice_angstrom": [[3.374, 0.000, 0.000], [1.687, 2.922, 0.000], [1.687, 0.974, 8.795]], "species": ["Hg", "Cl", "Cl", "Ni"], "frac_coords": [[0.500, 0.500, 0.500], [0.716, 0.716, 0.851], [0.284, 0.284, 0.149], [0.000, 0.000, 0.000]], "raw_formation_energy_ev_per_atom": -0.386, "space_group": "R-3m, No. 166"}

# 20
{"formula": "La2MgPb", "functional": "GGA-PBEsol", "state": "relaxed", "lattice_angstrom": [[-0.021, 0.734, -3.537], [-5.289, -2.446, -0.477], [-0.827, 5.666, 1.181]], "species": ["La", "La", "Pb", "Mg"], "frac_coords": [[0.000, 0.000, 0.500], [0.000, 0.500, 0.000], [0.500, 0.500, 0.500], [0.500, 0.000, 0.000]], "space_group": "Cmmm, No. 65", "delta_e_f_ev_per_atom": -0.37}

# 21
{"formula": "TaSb2AuI", "functional": "GGA-PBEsol", "state": "relaxed", "lattice_angstrom": [[5.285, 0.000, 0.000], [0.000, 5.308, 0.000], [0.000, 0.000, 5.308]], "species": ["Sb", "Sb", "Au", "I", "Ta"], "frac_coords": [[0.000, 0.000, 0.500], [0.000, 0.500, 0.000], [0.500, 0.500, 0.500], [0.500, 0.000, 0.000], [0.000, 0.000, 0.000]], "raw_formation_energy_ev_per_atom": 0.686, "space_group": "P4/mmm, No. 123"}

# 22
{"formula": "Fe2Pb3", "functional": "GGA-PBEsol", "state": "relaxed", "lattice_angstrom": [[3.387, 0.000, 0.000], [1.694, 2.933, 0.000], [1.694, 0.978, 10.539]], "species": ["Pb", "Pb", "Pb", "Fe", "Fe"], "frac_coords": [[0.000, 0.000, 0.000], [0.211, 0.211, 0.366], [0.789, 0.789, 0.634], [0.394, 0.394, 0.818], [0.606, 0.606, 0.182]], "space_group": "R-3m, No. 166", "delta_e_f_ev_per_atom": 0.60}

# 23
{"formula": "Be2AuBr", "functional": "GGA-PBEsol", "state": "relaxed", "lattice_angstrom": [[-3.016, -2.453, -1.221], [4.222, -1.817, 0.022], [0.848, -2.562, 3.053]], "species": ["Be", "Be", "Br", "Au"], "frac_coords": [[0.750, 0.500, 0.750], [0.250, 0.500, 0.250], [0.500, 0.000, 0.500], [0.000, 0.000, 0.000]], "raw_formation_energy_ev_per_atom": 0.696, "space_group": "I4/mmm, No. 139"}

# 24
{"formula": "LiAl2Mo", "functional": "GGA-PBEsol", "state": "relaxed", "lattice_angstrom": [[-1.852, -2.046, 0.806], [1.912, -0.155, 4.000], [-2.925, 4.315, -0.894]], "species": ["Al", "Al", "Mo", "Li"], "frac_coords": [[0.753, 0.253, 0.505], [0.999, 0.999, 0.999], [0.251, 0.751, 0.502], [0.497, 0.497, 0.994]], "space_group": "Imm2, No. 44", "delta_e_f_ev_per_atom": -0.05}

# 25
{"formula": "Ho2S3O12", "functional": "GGA-PBEsol", "state": "relaxed", "lattice_angstrom": [[9.157, 0.000, 0.000], [4.578, 7.930, 0.000], [4.578, 2.643, 7.832]], "species": ["Ho", "Ho", "Ho", "Ho", "O", "O", "O", "O", "O", "O", "O", "O", "O", "O", "O", "O", "O", "O", "O", "O", "O", "O", "O", "O", "O", "O", "O", "O", "S", "S", "S", "S", "S", "S"], "frac_coords": [[0.643, 0.643, 0.072], [0.143, 0.143, 0.572], [0.357, 0.357, 0.928], [0.857, 0.857, 0.428], [0.592, 0.193, 0.775], [0.623, 0.773, 0.598], [0.006, 0.623, 0.598], [0.939, 0.693, 0.275], [0.061, 0.307, 0.725], [0.193, 0.439, 0.775], [0.561, 0.408, 0.225], [0.908, 0.061, 0.725], [0.693, 0.092, 0.275], [0.877, 0.494, 0.902], [0.727, 0.877, 0.902], [0.807, 0.561, 0.225], [0.273, 0.123, 0.098], [0.994, 0.377, 0.402], [0.377, 0.227, 0.402], [0.506, 0.273, 0.098], [0.307, 0.908, 0.725], [0.439, 0.592, 0.775], [0.227, 0.994, 0.402], [0.408, 0.807, 0.225], [0.773, 0.006, 0.598], [0.092, 0.939, 0.275], [0.123, 0.506, 0.098], [0.494, 0.727, 0.902], [0.250, 0.966, 0.250], [0.966, 0.534, 0.250], [0.034, 0.466, 0.750], [0.750, 0.034, 0.750], [0.466, 0.750, 0.750], [0.534, 0.250, 0.250]], "raw_formation_energy_ev_per_atom": -2.214, "space_group": "R-3c, No. 167"}

# 26
{"formula": "Dy2GaCo2", "functional": "GGA-PBEsol", "state": "relaxed", "lattice_angstrom": [[3.993, 0.000, 0.000], [1.997, 4.868, 0.004], [1.997, 1.960, 4.456]], "species": ["Ga", "Co", "Co", "Dy", "Dy"], "frac_coords": [[0.000, 0.000, 0.000], [0.500, 0.717, 0.283], [0.500, 0.283, 0.717], [0.206, 0.294, 0.294], [0.794, 0.706, 0.706]], "space_group": "Immm, No. 71", "delta_e_f_ev_per_atom": -0.44}

Number 1: DOS(E_F) 0.7922 states/eV per atom. Number 2: DOS(E_F) 0.3353 states/eV per atom. Number 3: DOS(E_F) 1.3720 states/eV per atom. Number 4: DOS(E_F) 0.4884 states/eV per atom. Number 5: DOS(E_F) 0.6743 states/eV per atom. Number 6: DOS(E_F) 3.1153 states/eV per atom. Number 7: DOS(E_F) 0.9179 states/eV per atom. Number 8: DOS(E_F) 0.0000 states/eV per atom. Number 9: DOS(E_F) 1.0340 states/eV per atom. Number 10: DOS(E_F) 1.2860 states/eV per atom. Number 11: DOS(E_F) 0.3350 states/eV per atom. Number 12: DOS(E_F) 0.2814 states/eV per atom. Number 13: DOS(E_F) 0.7083 states/eV per atom. Number 14: DOS(E_F) 0.9246 states/eV per atom. Number 15: DOS(E_F) 1.0879 states/eV per atom. Number 16: DOS(E_F) 0.3349 states/eV per atom. Number 17: DOS(E_F) 1.2005 states/eV per atom. Number 18: DOS(E_F) 0.8408 states/eV per atom. Number 19: DOS(E_F) 0.2041 states/eV per atom. Number 20: DOS(E_F) 0.7791 states/eV per atom. Number 21: DOS(E_F) 0.6998 states/eV per atom. Number 22: DOS(E_F) 1.0718 states/eV per atom. Number 23: DOS(E_F) 0.1865 states/eV per atom. Number 24: DOS(E_F) 0.5947 states/eV per atom. Number 25: DOS(E_F) 0.0000 states/eV per atom. Number 26: DOS(E_F) 0.8703 states/eV per atom.